<1>
The following is a DFT calculation (PBE) of a relaxed structure of ZrAl2Br.

abc: 6.2216 6.2216 6.2216
angles: 101.90 101.90 126.00
Last column: nearest neighbours and their distance in Å.
Positions (direct):
Zr: 0.0000 0.0000 0.0000  2 Br 2.82, 4 Al 2.87
Zr: 0.7500 0.2500 0.5000  2 Br 2.82, 4 Al 2.87
Al: 0.1260 0.6250 0.0010  2 Al 2.82, 2 Br 2.86, 2 Zr 2.87
Al: 0.3750 0.3760 0.5010  2 Al 2.82, 2 Br 2.86, 2 Zr 2.87
Al: 0.6240 0.1250 0.9990  2 Al 2.82, 2 Br 2.86, 2 Zr 2.87
Al: 0.8750 0.8740 0.4990  2 Al 2.82, 2 Br 2.86, 2 Zr 2.87
Br: 0.2500 0.7500 0.5000  2 Zr 2.82, 4 Al 2.86
Br: 0.5000 0.5000 0.0000  2 Zr 2.82, 4 Al 2.86

ρ, g/cm3: 4.31
Fermi-level density of states, states/eV per cell: 6.8

***

<2>
The following is a DFT calculation (PBE) of a relaxed structure of ZrAl2Br.

abc: 5.7433 5.7433 4.6652
angles: 96.49 96.49 32.09
Last column: nearest neighbours and their distance in Å.
Positions (direct):
Zr: 0.0000 0.0000 0.0000  4 Br 2.82, 4 Al 3.14
Al: 0.2630 0.2630 0.7665  4 Al 2.74-2.94, 1 Br 3.03
Al: 0.7370 0.7370 0.2335  4 Al 2.74-2.94, 1 Br 3.03
Br: 0.5000 0.5000 0.5000  4 Zr 2.82, 2 Al 3.03

ρ, g/cm3: 4.60
Fermi-level density of states, states/eV per cell: 1.5

***

<3>
The following is a DFT calculation (PBE) of a relaxed structure of ZrAl2Br.

abc: 4.9846 4.9846 4.9846
angles: 60.00 60.00 60.00
Last column: nearest neighbours and their distance in Å.
Positions (direct):
Zr: 0.0000 0.0000 0.0000  8 Al 3.05
Al: 0.2500 0.2500 0.2500  4 Br 3.05, 4 Zr 3.05
Al: 0.7500 0.7500 0.7500  4 Br 3.05, 4 Zr 3.05
Br: 0.5000 0.5000 0.5000  8 Al 3.05

ρ, g/cm3: 4.27
Fermi-level density of states, states/eV per cell: 3.3

***

<4>
The following is a DFT calculation (PBE) of a relaxed structure of ZrAl2Br.

abc: 5.6503 5.6503 5.6503
angles: 138.23 138.23 60.56
Last column: nearest neighbours and their distance in Å.
Positions (direct):
Zr: 0.0000 0.0000 0.0000  4 Br 2.85, 8 Al 3.16
Al: 0.2500 0.7500 0.5000  4 Al 2.85, 4 Zr 3.16, 4 Br 3.16
Al: 0.7500 0.2500 0.5000  4 Al 2.85, 4 Zr 3.16, 4 Br 3.16
Br: 0.5000 0.5000 0.0000  4 Zr 2.85, 8 Al 3.16

ρ, g/cm3: 4.72
Fermi-level density of states, states/eV per cell: 3.9

***

Which one sits at the top of the stability order? <2> does.